Entry 1:
TbPm6Pr4: optimized geometry, PBE. Values from VASP.

ΔE_f = 0.276 eV/atom
distance to the lowest polymorph of the same formula = 0 meV/atom

Quantum ESPRESSO input file:
```
&SYSTEM
  ibrav = 0, nat = 11, ntyp = 3
/
ATOMIC_SPECIES
Pr 140.91 Pr.upf
Tb 158.93 Tb.upf
Pm 145.00 Pm.upf
ATOMIC_POSITIONS angstrom
Pr 2.972 -1.125 5.386
Pr -0.148 -5.556 2.866
Tb 0.000 0.000 0.000
Pm -3.080 2.140 0.050
Pr 0.531 -6.159 10.172
Pm 0.290 -3.447 5.701
Pm 3.593 -5.176 8.643
Pm -0.702 2.471 2.241
Pm -3.218 -1.103 0.208
Pr -0.715 -1.313 3.195
Pm 1.836 -7.671 7.224
CELL_PARAMETERS angstrom
-6.107 6.541 -3.941
-0.330 -8.748 4.357
4.703 -1.600 8.423
```


Entry 2:
TbPm2Pr: optimized geometry, PBE. Values from VASP.

ΔE_f = 0.016 eV/atom
distance to the lowest polymorph of the same formula = 0 meV/atom

Quantum ESPRESSO input file:
```
&SYSTEM
  ibrav = 0, nat = 4, ntyp = 3
/
ATOMIC_SPECIES
Pr 140.91 Pr.upf
Pm 145.00 Pm.upf
Tb 158.93 Tb.upf
ATOMIC_POSITIONS angstrom
Pr -1.227 -0.378 2.235
Pm 6.711 -1.449 3.441
Tb 3.276 -1.350 4.544
Pm 2.297 -0.496 1.177
CELL_PARAMETERS angstrom
-0.975 2.125 2.797
-1.480 -2.881 1.673
9.008 -1.945 4.618
```


Entry 3:
TbPm2Pr8: optimized geometry, PBE. Values from VASP.

ΔE_f = 0.135 eV/atom
distance to the lowest polymorph of the same formula = 29 meV/atom

Quantum ESPRESSO input file:
```
&SYSTEM
  ibrav = 0, nat = 11, ntyp = 3
/
ATOMIC_SPECIES
Pr 140.91 Pr.upf
Pm 145.00 Pm.upf
Tb 158.93 Tb.upf
ATOMIC_POSITIONS angstrom
Pr -0.666 -5.136 -10.549
Pr -0.662 -0.789 -8.448
Pm -0.313 -4.133 -3.830
Pr -3.013 -1.302 -5.742
Pr 0.529 -3.653 -7.281
Pr -0.428 -8.854 -10.961
Tb -1.571 0.591 -2.532
Pm 0.014 -7.205 -7.809
Pr 0.190 -0.824 -5.045
Pr -3.970 -6.503 -9.422
Pr -2.775 -5.020 -6.154
CELL_PARAMETERS angstrom
-3.143 1.182 -5.065
2.672 -2.795 -8.429
-2.970 -8.543 -3.210
```


Entry 4:
Tb3PmPr5: optimized geometry, PBE. Values from VASP.

ΔE_f = 0.532 eV/atom
distance to the lowest polymorph of the same formula = 265 meV/atom

Quantum ESPRESSO input file:
```
&SYSTEM
  ibrav = 0, nat = 18, ntyp = 3
/
ATOMIC_SPECIES
Pr 140.91 Pr.upf
Tb 158.93 Tb.upf
Pm 145.00 Pm.upf
ATOMIC_POSITIONS angstrom
Pr 5.813 8.253 4.723
Tb 8.465 6.392 10.069
Pr 9.529 3.332 4.723
Pr 6.297 1.240 0.577
Pr 6.883 5.198 7.465
Pr 2.916 5.717 0.577
Tb 8.448 6.379 4.769
Pm 1.506 1.138 2.374
Pm 10.976 8.288 9.857
Tb 0.000 0.000 0.000
Pr 5.599 4.228 4.765
Pr 2.953 6.094 7.507
Tb 4.017 3.033 2.162
Pr 6.699 5.058 1.855
Tb 1.635 1.234 5.538
Pr 5.783 4.367 10.375
Tb 4.034 3.046 7.461
Pr 6.669 1.172 7.507
CELL_PARAMETERS angstrom
8.083 -1.125 0.577
1.130 8.082 0.577
3.269 2.469 11.076
```


Entry 5:
Tb3Pm6Pr: optimized geometry, PBE. Values from VASP.

ΔE_f = 0.123 eV/atom
distance to the lowest polymorph of the same formula = 0 meV/atom

Quantum ESPRESSO input file:
```
&SYSTEM
  ibrav = 0, nat = 20, ntyp = 3
/
ATOMIC_SPECIES
Tb 158.93 Tb.upf
Pm 145.00 Pm.upf
Pr 140.91 Pr.upf
ATOMIC_POSITIONS angstrom
Tb -8.506 4.096 5.079
Pm -2.017 4.764 3.140
Pm -5.498 5.402 3.200
Pm -4.070 -1.689 5.174
Pm -3.709 4.398 6.084
Pm -2.332 -1.312 2.149
Tb -5.287 4.793 -0.524
Tb -7.402 -2.187 4.932
Pm -6.958 -9.369 0.524
Pm -9.036 -2.921 2.112
Pm -6.013 1.890 4.502
Tb -4.183 -1.490 -0.671
Tb -2.457 1.309 4.439
Pr -0.375 6.251 6.249
Tb -6.113 -0.627 2.097
Pm -4.275 2.266 1.477
Pm -3.681 11.018 4.942
Pm -5.268 -3.693 2.201
Pr -7.239 -6.015 0.780
Pm -7.345 -2.555 -0.831
CELL_PARAMETERS angstrom
-5.335 2.491 -2.756
-5.483 -10.362 1.248
0.626 9.310 7.205
```


Entry 6:
TbPmPr2: optimized geometry, PBE. Values from VASP.

ΔE_f = 0.105 eV/atom
distance to the lowest polymorph of the same formula = 93 meV/atom

Quantum ESPRESSO input file:
```
&SYSTEM
  ibrav = 0, nat = 4, ntyp = 3
/
ATOMIC_SPECIES
Pr 140.91 Pr.upf
Pm 145.00 Pm.upf
Tb 158.93 Tb.upf
ATOMIC_POSITIONS angstrom
Pr 0.000 0.000 1.843
Pm 2.145 2.145 3.768
Tb 2.145 2.145 0.000
Pr 0.000 0.000 5.692
CELL_PARAMETERS angstrom
4.290 0.000 0.000
0.000 4.290 0.000
0.000 0.000 7.535
```


Entry 7:
Tb4PmPr3: optimized geometry, PBE. Values from VASP.

ΔE_f = 0.018 eV/atom
distance to the lowest polymorph of the same formula = 0 meV/atom

Quantum ESPRESSO input file:
```
&SYSTEM
  ibrav = 0, nat = 16, ntyp = 3
/
ATOMIC_SPECIES
Tb 158.93 Tb.upf
Pm 145.00 Pm.upf
Pr 140.91 Pr.upf
ATOMIC_POSITIONS angstrom
Tb -4.481 7.870 -1.442
Pm -6.239 1.891 2.286
Tb -1.070 7.971 3.828
Pr -6.824 8.080 1.319
Tb -2.922 3.334 2.609
Tb -3.896 1.680 -0.474
Pr -1.457 0.132 1.713
Pr -0.582 3.126 -0.155
Tb -3.016 4.668 -2.338
Pr -5.356 4.876 0.426
Tb -4.386 6.531 3.506
Pr -3.501 9.520 1.647
Pm -2.042 6.321 0.746
Tb -1.161 9.313 -1.117
Tb -3.800 0.341 4.473
Pr 1.270 7.764 1.065
CELL_PARAMETERS angstrom
-4.880 3.100 -4.378
-4.686 0.420 5.521
3.706 9.282 2.440
```


Entry 8:
Tb3Pm8Pr2: optimized geometry, PBE. Values from VASP.

ΔE_f = 0.017 eV/atom
distance to the lowest polymorph of the same formula = 0 meV/atom

Quantum ESPRESSO input file:
```
&SYSTEM
  ibrav = 0, nat = 13, ntyp = 3
/
ATOMIC_SPECIES
Pm 145.00 Pm.upf
Tb 158.93 Tb.upf
Pr 140.91 Pr.upf
ATOMIC_POSITIONS angstrom
Pm -4.591 -0.033 2.325
Pm -10.425 -5.480 7.783
Pm -6.954 -2.629 3.295
Pm -2.389 -2.579 0.930
Tb -6.968 -5.694 8.865
Pm -4.765 -5.157 1.884
Pr -9.325 -5.208 4.300
Tb -5.845 -2.366 -0.152
Pm -8.222 -8.026 6.388
Pm -8.048 -2.902 6.829
Pr -3.488 -2.851 4.413
Pm -5.860 -5.430 5.418
Tb 0.000 0.000 0.000
CELL_PARAMETERS angstrom
-5.666 2.758 0.310
-3.640 -4.904 -1.538
-3.507 -5.914 9.942
```


Entry 9:
Tb2PmPr7: optimized geometry, PBE. Values from VASP.

ΔE_f = 0.360 eV/atom
distance to the lowest polymorph of the same formula = 0 meV/atom

Quantum ESPRESSO input file:
```
&SYSTEM
  ibrav = 0, nat = 10, ntyp = 3
/
ATOMIC_SPECIES
Pr 140.91 Pr.upf
Tb 158.93 Tb.upf
Pm 145.00 Pm.upf
ATOMIC_POSITIONS angstrom
Pr 1.429 -3.234 5.302
Tb 6.496 -4.649 3.073
Pr 4.391 -4.561 7.154
Pr 0.431 -3.455 8.896
Pr -0.703 -0.824 6.756
Pr 2.428 -3.013 1.708
Pr 4.715 -2.338 4.372
Pr -1.532 -1.907 3.450
Tb -3.637 -1.819 7.531
Pm 0.000 0.000 0.000
CELL_PARAMETERS angstrom
-1.153 -3.305 -0.523
9.621 -3.708 2.214
-5.609 0.546 8.914
```


Entry 10:
Tb3Pm2Pr7: optimized geometry, PBE. Values from VASP.

ΔE_f = 0.088 eV/atom
distance to the lowest polymorph of the same formula = 18 meV/atom

Quantum ESPRESSO input file:
```
&SYSTEM
  ibrav = 0, nat = 12, ntyp = 3
/
ATOMIC_SPECIES
Tb 158.93 Tb.upf
Pr 140.91 Pr.upf
Pm 145.00 Pm.upf
ATOMIC_POSITIONS angstrom
Tb 0.000 0.536 7.123
Pr 0.000 0.212 16.514
Pr 0.000 0.000 0.000
Pr 0.000 3.731 2.949
Tb 1.831 2.989 0.130
Pm 1.831 3.599 5.897
Pr 1.831 3.490 9.113
Pr 1.831 0.684 3.536
Pr 1.831 0.453 10.350
Pm 1.831 0.344 13.566
Pr 1.831 3.259 15.927
Tb 0.000 3.407 12.340
CELL_PARAMETERS angstrom
3.662 0.000 0.000
0.000 5.977 0.260
0.000 -2.034 19.203
```


Entry 11:
Tb4Pm2Pr3: optimized geometry, PBE. Values from VASP.

ΔE_f = 0.016 eV/atom
distance to the lowest polymorph of the same formula = 0 meV/atom

Quantum ESPRESSO input file:
```
&SYSTEM
  ibrav = 0, nat = 9, ntyp = 3
/
ATOMIC_SPECIES
Tb 158.93 Tb.upf
Pm 145.00 Pm.upf
Pr 140.91 Pr.upf
ATOMIC_POSITIONS angstrom
Tb 7.114 3.551 13.201
Tb 1.835 1.904 8.494
Pm 4.626 3.959 7.424
Pm 5.121 0.417 8.133
Pr 5.275 1.653 4.695
Pr 0.000 0.000 0.000
Tb 2.633 0.826 2.357
Tb 7.912 2.472 7.063
Pr 4.472 2.723 10.862
CELL_PARAMETERS angstrom
5.931 -0.656 1.963
2.151 4.357 1.661
1.665 0.675 11.934
```


Entry 12:
Tb2Pm7Pr: optimized geometry, PBE. Values from VASP.

ΔE_f = 0.643 eV/atom
distance to the lowest polymorph of the same formula = 260 meV/atom

Quantum ESPRESSO input file:
```
&SYSTEM
  ibrav = 0, nat = 10, ntyp = 3
/
ATOMIC_SPECIES
Pm 145.00 Pm.upf
Pr 140.91 Pr.upf
Tb 158.93 Tb.upf
ATOMIC_POSITIONS angstrom
Pm -1.448 7.308 3.115
Pr 0.000 0.000 0.000
Tb 0.630 6.128 0.994
Tb -5.237 3.107 1.365
Pm 2.670 4.880 2.929
Pm -4.787 5.589 3.326
Pm 0.180 3.646 -0.966
Pm -5.206 0.824 3.426
Pm -3.158 1.927 -0.755
Pm -2.303 4.618 1.180
CELL_PARAMETERS angstrom
-2.071 3.532 -3.996
-8.467 -0.855 3.632
5.931 6.559 2.723
```


Which value of distance to the lowest polymorph of the same formula does entry 4 give?
265 meV/atom


Please write out number 12 again, unchanged.
Tb2Pm7Pr: optimized geometry, PBE. Values from VASP.

ΔE_f = 0.643 eV/atom
distance to the lowest polymorph of the same formula = 260 meV/atom

Quantum ESPRESSO input file:
```
&SYSTEM
  ibrav = 0, nat = 10, ntyp = 3
/
ATOMIC_SPECIES
Pm 145.00 Pm.upf
Pr 140.91 Pr.upf
Tb 158.93 Tb.upf
ATOMIC_POSITIONS angstrom
Pm -1.448 7.308 3.115
Pr 0.000 0.000 0.000
Tb 0.630 6.128 0.994
Tb -5.237 3.107 1.365
Pm 2.670 4.880 2.929
Pm -4.787 5.589 3.326
Pm 0.180 3.646 -0.966
Pm -5.206 0.824 3.426
Pm -3.158 1.927 -0.755
Pm -2.303 4.618 1.180
CELL_PARAMETERS angstrom
-2.071 3.532 -3.996
-8.467 -0.855 3.632
5.931 6.559 2.723
```